Here is TlFe2Si after structural relaxation from the Alexandria database. Energies are from PBE-GGA.

spin magnetization = 4.32 μB per formula unit
offset from the most stable computed form = 0.313 eV per atom
raw total energy = -5.671 eV per atom
D(E_F) = 3.5 states/eV/f.u.

Cell lengths 4.9197, 4.9197, 4.9197 Å; angles 134.55, 134.55, 66.23 degrees
With the nearest neighbours (Å) after each atom.
Fractional positions:
1 Tl 0.0000 0.0000 0.0000  8 Fe 2.69-2.80, 4 Si 2.80
2 Fe 0.2500 0.7500 0.5000  4 Si 2.69, 4 Fe 2.80, 4 Tl 2.80
3 Fe 0.5000 0.5000 0.0000  4 Tl 2.69, 4 Si 2.80, 4 Fe 2.80
4 Si 0.7500 0.2500 0.5000  8 Fe 2.69-2.80, 4 Tl 2.80